Entry from Alexandria via LeMat-Bulk: an optimized crystal structure of Li2MnSiO4 (PBE with a Hubbard U).

abc: 6.375 5.449 5.045
angles: 90.00 90.00 90.00
Fractional positions:
Li  0.249  0.168  0.000
Li  0.251  0.832  0.500
Li  0.749  0.832  0.500
Li  0.751  0.168  0.000
Mn  0.000  0.335  0.502
Mn  0.500  0.665  0.002
Si  0.000  0.679  0.993
Si  0.500  0.321  0.493
O  0.000  0.387  0.087
O  0.000  0.688  0.665
O  0.212  0.820  0.106
O  0.288  0.180  0.606
O  0.500  0.312  0.165
O  0.500  0.613  0.587
O  0.712  0.180  0.606
O  0.788  0.820  0.106

The raw total energy is -6.911 eV/atom. The magnetization is 10.00 Bohr magnetons per cell. As for the energy above the most stable polymorph in this dataset: 0.000 eV/atom. The calculation puts the density of states at the Fermi level at 0.00 states/eV/atom.